First-principles (PBE+U) data for crystalline Y2MoO6 at its relaxed geometry, as listed in Alexandria.

Raw total energy in Ry/atom: -0.6035
Symmetry: P4_2/mnm, No. 136

a = 5.0159 Å, b = 5.0159 Å, c = 9.9986 Å
α = 90.00°, β = 90.00°, γ = 90.00°
With the nearest neighbours (Å) after each atom.
Fractional positions:
Y 0.0000 0.0000 0.1678  6 O 2.25-2.31
Y 0.0000 0.0000 0.8322  6 O 2.25-2.31
Y 0.5000 0.5000 0.3322  6 O 2.25-2.31
Y 0.5000 0.5000 0.6678  6 O 2.25-2.31
Mo 0.0000 0.0000 0.5000  6 O 1.96
Mo 0.5000 0.5000 0.0000  6 O 1.96
O 0.1845 0.1845 0.3545  1 Mo 1.96
O 0.1845 0.1845 0.6455  1 Mo 1.96
O 0.2242 0.2242 0.0000  1 Mo 1.96
O 0.2758 0.7242 0.5000  1 Mo 1.96
O 0.3155 0.6845 0.1455  1 Mo 1.96
O 0.3155 0.6845 0.8545  1 Mo 1.96
O 0.6845 0.3155 0.1455  1 Mo 1.96
O 0.6845 0.3155 0.8545  1 Mo 1.96
O 0.7242 0.2758 0.5000  1 Mo 1.96
O 0.7758 0.7758 0.0000  1 Mo 1.96
O 0.8155 0.8155 0.3545  1 Mo 1.96
O 0.8155 0.8155 0.6455  1 Mo 1.96